[1]
Computed, not measured: a relaxed structure of Np4InGa12 at the GGA-PBE level of DFT.

abc: 7.589 7.589 7.589
angles: 109.47 109.47 109.47
Last column: magnetic moment on the atom in μB.
Sites, in units of the cell vectors:
Np  0.000  0.000  0.500  3.84
Np  0.500  0.000  0.000  3.84
Np  0.500  0.500  0.500  3.84
Np  0.000  0.500  0.000  3.84
In  0.000  0.000  0.000  -0.03
Ga  0.000  0.314  0.314  0.00
Ga  0.000  0.686  0.686  0.00
Ga  0.686  0.686  0.000  0.00
Ga  0.314  0.314  0.000  0.00
Ga  0.314  0.000  0.314  0.00
Ga  0.686  0.000  0.686  0.00
Ga  0.500  0.250  0.750  0.00
Ga  0.500  0.750  0.250  0.00
Ga  0.750  0.250  0.500  0.00
Ga  0.250  0.750  0.500  0.00
Ga  0.750  0.500  0.250  0.00
Ga  0.250  0.500  0.750  0.00

Results
Energy of formation: -0.148 eV/atom
E: -5.491 eV/atom
Theoretical density: 9.37 g/cm3
Crystal system: cubic

---

[2]
Computed, not measured: a relaxed structure of Np2In9Ga at the GGA-PBE level of DFT.

abc: 4.628 4.628 14.090
angles: 90.00 90.00 90.00
Last column: magnetic moment on the atom in μB.
Sites, in units of the cell vectors:
Np  0.000  0.000  0.333  4.04
Np  0.000  0.000  0.667  4.04
In  0.500  0.500  0.000  0.01
In  0.500  0.500  0.336  0.02
In  0.500  0.500  0.664  0.02
In  0.500  0.000  0.164  0.01
In  0.500  0.000  0.500  0.02
In  0.500  0.000  0.836  0.01
In  0.000  0.500  0.164  0.01
In  0.000  0.500  0.500  0.02
In  0.000  0.500  0.836  0.01
Ga  0.000  0.000  0.000  0.01

Results
Energy of formation: 0.039 eV/atom
E: -4.424 eV/atom
Theoretical density: 8.68 g/cm3
Crystal system: tetragonal

---

[3]
Computed, not measured: a relaxed structure of NpInGa6 at the GGA-PBE level of DFT.

abc: 4.054 6.314 6.314
angles: 90.02 90.00 90.00
Last column: magnetic moment on the atom in μB.
Sites, in units of the cell vectors:
Np  0.500  0.500  0.500  3.84
In  0.500  0.000  0.000  -0.01
Ga  0.000  0.754  0.246  0.01
Ga  0.000  0.246  0.754  0.01
Ga  0.000  0.754  0.754  0.01
Ga  0.000  0.246  0.246  0.01
Ga  0.500  0.500  0.000  0.02
Ga  0.500  0.000  0.500  0.02

Results
Energy of formation: 0.001 eV/atom
E: -4.229 eV/atom
Theoretical density: 7.91 g/cm3
Crystal system: tetragonal

---

[4]
Computed, not measured: a relaxed structure of NpIn2Ga at the GGA-PBE level of DFT.

abc: 6.284 6.476 6.476
angles: 58.01 60.98 60.98
Last column: magnetic moment on the atom in μB.
Sites, in units of the cell vectors:
Np  0.250  0.250  0.250  3.87
Np  0.750  0.750  0.750  3.87
In  0.250  0.250  0.750  0.02
In  0.250  0.750  0.250  0.02
In  0.750  0.750  0.250  0.02
In  0.750  0.250  0.750  0.02
Ga  0.750  0.250  0.250  0.01
Ga  0.250  0.750  0.750  0.01

Results
Energy of formation: -0.029 eV/atom
E: -5.390 eV/atom
Theoretical density: 9.58 g/cm3
Crystal system: tetragonal
Energy above the lowest structure with this stoichiometry: 0.0000 eV per atom

---

[5]
Computed, not measured: a relaxed structure of NpIn2Ga at the GGA-PBE level of DFT.

abc: 5.175 5.175 5.175
angles: 60.00 60.00 60.00
Last column: magnetic moment on the atom in μB.
Sites, in units of the cell vectors:
Np  0.500  0.500  0.500  4.04
Ga  0.000  0.000  0.000  -0.04
In  0.250  0.250  0.250  0.01
In  0.750  0.750  0.750  0.01

Results
Energy of formation: 0.251 eV/atom
E: -5.110 eV/atom
Theoretical density: 9.09 g/cm3
Crystal system: cubic
Energy above the lowest structure with this stoichiometry: 0.2806 eV per atom

---

[6]
Computed, not measured: a relaxed structure of Np2InGa6 at the GGA-PBE level of DFT.

abc: 5.304 5.304 7.650
angles: 90.00 90.00 113.23
Last column: magnetic moment on the atom in μB.
Sites, in units of the cell vectors:
Np  0.500  0.500  0.750  4.00
Np  0.500  0.500  0.250  4.00
In  0.000  0.000  0.000  -0.02
Ga  0.500  0.000  0.000  0.00
Ga  0.500  0.000  0.500  -0.01
Ga  0.000  0.500  0.000  0.00
Ga  0.000  0.500  0.500  -0.01
Ga  0.000  0.000  0.661  0.02
Ga  0.000  0.000  0.339  0.02

Results
Energy of formation: 0.151 eV/atom
E: -5.047 eV/atom
Theoretical density: 8.46 g/cm3
Crystal system: orthorhombic

---

[7]
Computed, not measured: a relaxed structure of NpIn2Ga at the GGA-PBE level of DFT.

abc: 3.667 3.667 7.141
angles: 90.00 90.00 90.00
Last column: magnetic moment on the atom in μB.
Sites, in units of the cell vectors:
Np  0.500  0.500  0.500  4.28
Ga  0.500  0.500  0.000  0.00
In  0.000  0.000  0.784  0.02
In  0.000  0.000  0.216  0.02

Results
Energy of formation: 0.121 eV/atom
E: -5.240 eV/atom
Theoretical density: 9.27 g/cm3
Crystal system: tetragonal
Energy above the lowest structure with this stoichiometry: 0.1500 eV per atom

---

[8]
Computed, not measured: a relaxed structure of NpInGa2O8 at the GGA-PBE level of DFT.

abc: 4.786 4.785 6.384
angles: 90.00 90.00 91.37
Sites, in units of the cell vectors:
Np  0.000  0.000  0.000
In  0.000  0.000  0.500
Ga  0.500  0.500  0.736
Ga  0.500  0.500  0.264
O  0.203  0.796  0.229
O  0.692  0.693  0.000
O  0.797  0.204  0.229
O  0.797  0.204  0.771
O  0.308  0.307  0.000
O  0.203  0.796  0.771
O  0.686  0.687  0.500
O  0.314  0.313  0.500

Results
Energy relative to the elements, uncorrected: -1.9168 eV/atom
E: -7.033 eV/atom
Theoretical density: 7.04 g/cm3
Crystal system: orthorhombic

---

[9]
Computed, not measured: a relaxed structure of NpInGa2Pt4 at the GGA-PBE level of DFT.

abc: 4.300 4.300 9.610
angles: 77.07 77.07 60.00
Last column: magnetic moment on the atom in μB.
Sites, in units of the cell vectors:
Np  0.000  0.000  0.000  3.42
In  0.500  0.500  0.500  0.01
Ga  0.750  0.750  0.751  0.01
Ga  0.250  0.250  0.249  0.01
Pt  0.391  0.391  0.826  -0.07
Pt  0.885  0.885  0.346  0.00
Pt  0.115  0.115  0.654  0.00
Pt  0.609  0.609  0.174  -0.07

Results
Energy of formation: -0.519 eV/atom
E: -6.256 eV/atom
Theoretical density: 14.20 g/cm3
Crystal system: trigonal

---

[10]
Computed, not measured: a relaxed structure of NpInGaSb at the GGA-PBE level of DFT.

abc: 4.317 4.580 4.741
angles: 90.00 90.00 90.00
Last column: magnetic moment on the atom in μB.
Sites, in units of the cell vectors:
Np  0.000  0.500  0.500  3.84
In  0.000  0.000  0.000  0.01
Ga  0.500  0.500  0.000  0.01
Sb  0.500  0.000  0.500  -0.07

Results
Energy relative to the elements, uncorrected: -0.1660 eV/atom
E: -5.873 eV/atom
Theoretical density: 9.62 g/cm3
Crystal system: orthorhombic

---

[11]
Computed, not measured: a relaxed structure of NpZnInGa at the GGA-PBE level of DFT.

abc: 4.901 4.901 4.901
angles: 60.00 60.00 60.00
Last column: magnetic moment on the atom in μB.
Sites, in units of the cell vectors:
Np  0.500  0.500  0.500  3.90
Zn  0.750  0.750  0.750  0.01
Ga  0.250  0.250  0.250  0.02
In  0.000  0.000  0.000  -0.03

Results
Energy of formation: 0.057 eV/atom
E: -4.938 eV/atom
Theoretical density: 9.71 g/cm3
Crystal system: cubic

---

[12]
Computed, not measured: a relaxed structure of In2Ga4O9 at the GGA-PBE level of DFT.

abc: 5.232 5.232 14.034
angles: 89.99 89.99 60.00
Sites, in units of the cell vectors:
In  0.000  0.000  0.361
In  0.000  0.000  0.140
In  0.000  0.000  0.639
In  0.000  0.000  0.860
Ga  0.333  0.333  0.981
Ga  0.333  0.333  0.481
Ga  0.667  0.667  0.019
Ga  0.333  0.334  0.190
Ga  0.667  0.667  0.519
Ga  0.666  0.667  0.310
Ga  0.334  0.333  0.690
Ga  0.667  0.666  0.810
O  0.001  0.320  0.750
O  0.321  0.679  0.750
O  0.680  0.000  0.750
O  0.999  0.680  0.250
O  0.679  0.321  0.250
O  0.320  0.000  0.250
O  0.642  0.970  0.419
O  0.970  0.387  0.419
O  0.387  0.643  0.419
O  0.612  0.030  0.081
O  0.357  0.613  0.081
O  0.030  0.358  0.081
O  0.358  0.030  0.581
O  0.030  0.613  0.581
O  0.613  0.357  0.581
O  0.388  0.970  0.919
O  0.643  0.387  0.919
O  0.970  0.642  0.919

Results
Energy relative to the elements, uncorrected: -1.7037 eV/atom
E: -5.851 eV/atom
Theoretical density: 6.51 g/cm3
Crystal system: trigonal

---

[13]
Computed, not measured: a relaxed structure of In3Ga3O8 at the GGA-PBE level of DFT.

abc: 6.479 6.479 6.479
angles: 57.11 57.11 57.11
Sites, in units of the cell vectors:
In  0.371  0.371  0.371
In  0.629  0.629  0.629
In  0.000  0.000  0.000
Ga  0.500  0.000  0.000
Ga  0.000  0.500  0.000
Ga  0.000  0.000  0.500
O  0.771  0.771  0.771
O  0.204  0.755  0.755
O  0.755  0.204  0.755
O  0.755  0.755  0.204
O  0.229  0.229  0.229
O  0.796  0.245  0.245
O  0.245  0.796  0.245
O  0.245  0.245  0.796

Results
Energy relative to the elements, uncorrected: -1.5308 eV/atom
E: -5.599 eV/atom
Theoretical density: 6.31 g/cm3
Crystal system: trigonal

---

[14]
Computed, not measured: a relaxed structure of In2GaO4 at the GGA-PBE level of DFT.

abc: 3.268 5.641 6.002
angles: 120.18 105.80 90.00
Sites, in units of the cell vectors:
In  0.689  0.695  0.379
In  0.311  0.305  0.621
Ga  0.000  0.000  0.000
O  0.876  0.146  0.751
O  0.124  0.854  0.249
O  0.624  0.259  0.247
O  0.376  0.741  0.753

Results
Energy relative to the elements, uncorrected: -1.3462 eV/atom
E: -5.394 eV/atom
Theoretical density: 6.65 g/cm3
Crystal system: monoclinic

---

[15]
Computed, not measured: a relaxed structure of InGa3O at the GGA-PBE level of DFT.

abc: 4.548 4.548 4.548
angles: 90.00 90.00 90.00
Sites, in units of the cell vectors:
O  0.000  0.000  0.000
Ga  0.000  0.500  0.000
Ga  0.000  0.000  0.500
Ga  0.500  0.000  0.000
In  0.500  0.500  0.500

Results
Energy relative to the elements, uncorrected: -0.1904 eV/atom
E: -3.546 eV/atom
Theoretical density: 6.00 g/cm3
Crystal system: cubic
Energy above the lowest structure with this stoichiometry: 0.0000 eV per atom

---

[16]
Computed, not measured: a relaxed structure of InGa2O4 at the GGA-PBE level of DFT.

abc: 4.492 4.492 5.214
angles: 90.00 90.00 90.00
Sites, in units of the cell vectors:
In  0.000  0.000  0.000
Ga  0.500  0.000  0.500
Ga  0.000  0.500  0.500
O  0.754  0.246  0.702
O  0.246  0.246  0.298
O  0.246  0.754  0.702
O  0.754  0.754  0.298

Results
Energy relative to the elements, uncorrected: -1.5042 eV/atom
E: -5.593 eV/atom
Theoretical density: 5.02 g/cm3
Crystal system: tetragonal

---

[17]
Computed, not measured: a relaxed structure of InGa3O at the GGA-PBE level of DFT.

abc: 5.222 5.222 5.222
angles: 90.00 90.00 90.00
Sites, in units of the cell vectors:
O  0.500  0.500  0.500
Ga  0.000  0.500  0.000
Ga  0.000  0.000  0.500
Ga  0.500  0.000  0.000
In  0.000  0.000  0.000

Results
Energy relative to the elements, uncorrected: 0.7820 eV/atom
E: -2.573 eV/atom
Theoretical density: 3.97 g/cm3
Crystal system: cubic
Energy above the lowest structure with this stoichiometry: 0.9725 eV per atom

---

[18]
Computed, not measured: a relaxed structure of InGaOsO6 at the GGA-PBE level of DFT.

abc: 5.152 5.152 9.219
angles: 90.00 90.00 120.00
Last column: magnetic moment on the atom in μB.
Sites, in units of the cell vectors:
In  0.000  0.000  0.000  0.04
In  0.000  0.000  0.500  0.04
Ga  0.667  0.333  0.250  0.04
Ga  0.333  0.667  0.750  0.04
Os  0.333  0.667  0.250  1.27
Os  0.667  0.333  0.750  1.27
O  0.639  0.648  0.135  0.07
O  0.009  0.361  0.135  0.07
O  0.361  0.009  0.635  0.07
O  0.991  0.639  0.865  0.07
O  0.352  0.361  0.365  0.07
O  0.009  0.648  0.365  0.07
O  0.648  0.009  0.865  0.07
O  0.639  0.991  0.365  0.07
O  0.991  0.352  0.635  0.07
O  0.352  0.991  0.135  0.07
O  0.648  0.639  0.635  0.07
O  0.361  0.352  0.865  0.07

Results
Energy relative to the elements, uncorrected: -1.2966 eV/atom
E: -6.490 eV/atom
Theoretical density: 7.38 g/cm3
Crystal system: trigonal

---

[19]
Computed, not measured: a relaxed structure of InGa2OsO8 at the GGA-PBE level of DFT.

abc: 4.649 4.644 6.329
angles: 90.00 90.00 90.82
Last column: magnetic moment on the atom in μB.
Sites, in units of the cell vectors:
In  0.000  0.000  0.500  0.03
Ga  0.500  0.500  0.743  0.01
Ga  0.500  0.500  0.257  0.01
Os  0.000  0.000  0.000  0.60
O  0.198  0.800  0.218  0.05
O  0.706  0.708  0.000  -0.01
O  0.802  0.200  0.218  0.05
O  0.802  0.200  0.782  0.05
O  0.294  0.292  0.000  -0.01
O  0.198  0.800  0.782  0.05
O  0.684  0.686  0.500  0.02
O  0.316  0.314  0.500  0.02

Results
Energy relative to the elements, uncorrected: -1.3368 eV/atom
E: -6.311 eV/atom
Theoretical density: 6.96 g/cm3
Crystal system: monoclinic

---

[20]
Computed, not measured: a relaxed structure of InGaOsO2 at the GGA-PBE level of DFT.

abc: 3.849 5.885 3.849
angles: 90.00 90.00 90.00
Sites, in units of the cell vectors:
Os  0.000  0.000  0.000
O  0.000  0.000  0.500
O  0.500  0.000  0.000
Ga  0.500  0.500  0.500
In  0.000  0.500  0.000

Results
Energy relative to the elements, uncorrected: -0.3657 eV/atom
E: -5.748 eV/atom
Theoretical density: 7.75 g/cm3
Crystal system: tetragonal

---

[21]
Computed, not measured: a relaxed structure of PaInGa2O8 at the GGA-PBE level of DFT.

abc: 5.950 5.950 5.950
angles: 109.03 109.03 110.37
Last column: magnetic moment on the atom in μB.
Sites, in units of the cell vectors:
Pa  0.000  0.000  0.000  -0.03
In  0.250  0.750  0.500  -0.01
Ga  0.750  0.250  0.500  0.00
Ga  0.500  0.500  0.000  -0.01
O  0.370  0.064  0.306  0.17
O  0.305  0.494  0.189  0.25
O  0.305  0.115  0.811  0.25
O  0.758  0.064  0.694  0.17
O  0.885  0.695  0.189  0.25
O  0.936  0.242  0.306  0.17
O  0.936  0.630  0.694  0.17
O  0.506  0.695  0.811  0.25

Results
Energy relative to the elements, uncorrected: -1.8685 eV/atom
E: -6.698 eV/atom
Theoretical density: 6.28 g/cm3
Crystal system: tetragonal

---

[22]
Computed, not measured: a relaxed structure of PaInGaO at the GGA-PBE level of DFT.

abc: 4.137 4.137 8.723
angles: 90.00 90.00 90.00
Last column: magnetic moment on the atom in μB.
Sites, in units of the cell vectors:
Pa  0.500  0.000  0.639  0.85
Pa  0.000  0.500  0.361  0.85
In  0.500  0.500  0.000  0.00
In  0.000  0.000  0.000  0.00
Ga  0.000  0.500  0.777  0.00
Ga  0.500  0.000  0.223  0.00
O  0.000  0.000  0.500  -0.03
O  0.500  0.500  0.500  -0.03

Results
Energy relative to the elements, uncorrected: -1.2927 eV/atom
E: -6.348 eV/atom
Theoretical density: 9.60 g/cm3
Crystal system: tetragonal